{"formula": "Li4Mn3Cr3Fe2O16", "functional": "meta-GGA SCAN", "state": "PBEsol geometry", "lattice": [[5.703, -0.001, 0.014], [-2.850, 4.967, -0.025], [-0.024, -0.103, 9.378]], "species": ["Cr", "Cr", "Cr", "Mn", "Mn", "Mn", "Fe", "Fe", "O", "O", "O", "O", "O", "O", "O", "O", "O", "O", "O", "O", "O", "O", "O", "O", "Li", "Li", "Li", "Li"], "fractional_positions": [[0.827, 0.169, 0.786], [0.342, 0.169, 0.786], [0.170, 0.339, 0.285], [0.832, 0.664, 0.785], [0.662, 0.831, 0.285], [0.169, 0.831, 0.285], [0.667, 0.334, 0.508], [0.332, 0.665, 0.008], [0.835, 0.160, 0.398], [0.516, 0.032, 0.667], [0.674, 0.347, 0.895], [0.997, 0.994, 0.691], [0.996, 0.992, 0.189], [0.325, 0.160, 0.398], [0.962, 0.482, 0.666], [0.520, 0.482, 0.665], [0.162, 0.323, 0.896], [0.839, 0.677, 0.396], [0.484, 0.518, 0.168], [0.035, 0.518, 0.168], [0.339, 0.677, 0.392], [0.674, 0.836, 0.897], [0.480, 0.961, 0.165], [0.162, 0.836, 0.897], [0.667, 0.334, 0.106], [0.000, 0.000, 0.002], [0.001, 0.002, 0.504], [0.333, 0.665, 0.604]], "dos_at_fermi_per_ev_atom": 0.22, "sg": "Cm (8)", "crystal_system": "monoclinic", "dft_energy_ev_per_atom": -11.330, "m_tot_mub_per_fu": 27.00, "raw_formation_energy_mev_per_atom": -2207}